Arrangement 1

{
  "formula": "LiMgCl",
  "functional": "GGA-PBE",
  "state": "relaxed",
  "lattice": [[11.953, 0.000, 0.028], [0.000, 3.544, 0.000], [-1.022, 0.000, 5.978]],
  "species": ["Li", "Li", "Li", "Li", "Mg", "Mg", "Mg", "Mg", "Cl", "Cl", "Cl", "Cl"],
  "frac_coords": [[0.564, 0.000, 0.648], [0.826, 0.000, 0.736], [0.826, 0.500, 0.236], [0.564, 0.500, 0.148], [0.047, 0.500, 0.637], [0.246, 0.500, 0.367], [0.047, 0.000, 0.137], [0.246, 0.000, 0.867], [0.714, 0.500, 0.865], [0.456, 0.500, 0.447], [0.456, 0.000, 0.947], [0.714, 0.000, 0.365]],
  "volume_a3_per_cell": 253.3,
  "mass_density_g_cm3": 1.7
}



Arrangement 2

{
  "formula": "LiMgCl",
  "functional": "GGA-PBE",
  "state": "relaxed",
  "lattice": [[11.522, 0.000, 0.021], [0.000, 3.504, 0.000], [-0.009, 0.000, 5.986]],
  "species": ["Li", "Li", "Li", "Li", "Mg", "Mg", "Mg", "Mg", "Cl", "Cl", "Cl", "Cl"],
  "frac_coords": [[0.568, 0.500, 0.381], [0.830, 0.500, 0.050], [0.568, 0.000, 0.881], [0.830, 0.000, 0.550], [0.256, 0.500, 0.382], [0.051, 0.000, 0.220], [0.256, 0.000, 0.882], [0.051, 0.500, 0.720], [0.707, 0.000, 0.214], [0.442, 0.000, 0.548], [0.707, 0.500, 0.714], [0.442, 0.500, 0.048]],
  "volume_a3_per_cell": 241.7,
  "mass_density_g_cm3": 1.8
}



Which structure is most stable, and how do the rest compare? From most to least stable: arrangement 1, arrangement 2.